(1)
5
Lattice="3.843 0.000 0.000 0.000 4.793 0.000 0.000 0.000 4.793" Properties=species:S:1:pos:R:3 comment="Tl2CoOsC, relaxed, DFT PBEsol" e_form_kj_per_mol_atoms=132 space_group="No. 123" magmom_total_mub_per_cell=1.411 pbc="T T T"
Co 1.921 2.396 2.396
Tl 0.000 0.000 2.396
Tl 0.000 2.396 0.000
Os 1.921 0.000 0.000
C 0.000 0.000 0.000

=====

(2)
5
Lattice="4.263 0.000 0.000 0.000 4.668 0.000 0.000 0.000 4.668" Properties=species:S:1:pos:R:3 comment="Co2PPtC, relaxed, DFT PBEsol" e_form_kj_per_mol_atoms=220 space_group="No. 123" magmom_total_mub_per_cell=3.263 pbc="T T T"
P 2.131 0.000 0.000
C 2.131 2.334 2.334
Co 0.000 0.000 2.334
Co 0.000 2.334 0.000
Pt 0.000 0.000 0.000

=====

(3)
5
Lattice="3.556 0.000 0.000 0.000 4.156 0.000 0.000 0.000 4.156" Properties=species:S:1:pos:R:3 comment="CoSiP2C, relaxed, DFT PBEsol" e_form_raw_ev_per_atom=0.838 space_group="No. 123" magmom_total_mub_per_cell=0.000 pbc="T T T"
P 0.000 0.000 2.078
P 0.000 2.078 0.000
Si 1.778 2.078 2.078
Co 1.778 0.000 0.000
C 0.000 0.000 0.000